This record from the Alexandria database describes Re3AsIr after structural relaxation. The functional is PBE.

Summary:
**Total magnetic moment**: 0.1403 μB/atom
**Relative energy among the computed polymorphs**: 0.460 eV/atom

abc: 4.7291 4.7291 4.7291
angles: 90.00 90.00 90.00
Closest atoms and distances in Å follow each position.
Element x y z (fractional)
Re: 0.0000 0.5000 0.0000  2 Ir 2.36
Re: 0.0000 0.0000 0.5000  2 Ir 2.36
Re: 0.5000 0.0000 0.0000  2 Ir 2.36
As: 0.5000 0.5000 0.5000  12 Re 3.34
Ir: 0.0000 0.0000 0.0000  6 Re 2.36